VASP calculation (PBE-GGA) on a relaxed structure of H2PdRh.

Cell and atoms, written as POSCAR:
```
H2PdRh
1.0
2.884 0.000 0.000
-1.442 2.497 0.000
0.000 0.000 14.310
H Pd Rh
6 3 3
Direct
0.000 0.000 0.235
0.000 0.000 0.765
0.333 0.667 0.432
0.333 0.667 0.901
0.667 0.333 0.099
0.667 0.333 0.568
0.000 0.000 0.000
0.333 0.667 0.667
0.667 0.333 0.333
0.000 0.000 0.500
0.333 0.667 0.167
0.667 0.333 0.833
```

Computed properties:
polymorph energy (0 for the lowest one)	0.0000	eV/atom
D(E_F)	3.8	states/eV/f.u.
VASP energy	-4.83	eV per atom

=====

VASP calculation (PBE-GGA) on a relaxed structure of H6Pd2Rh.

Cell and atoms, written as POSCAR:
```
H6Pd2Rh
1.0
4.018 0.000 0.000
0.000 4.018 0.000
0.000 0.000 8.756
H Pd Rh
12 4 2
Direct
0.182 0.182 0.164
0.182 0.182 0.836
0.191 0.191 0.500
0.309 0.691 0.000
0.318 0.682 0.336
0.318 0.682 0.664
0.682 0.318 0.336
0.682 0.318 0.664
0.691 0.309 0.000
0.809 0.809 0.500
0.818 0.818 0.164
0.818 0.818 0.836
0.000 0.000 0.336
0.000 0.000 0.664
0.500 0.500 0.164
0.500 0.500 0.836
0.000 0.000 0.000
0.500 0.500 0.500
```

Computed properties:
polymorph energy (0 for the lowest one)	0.0035	eV/atom
D(E_F)	2.6	states/eV/f.u.
VASP energy	-4.19	eV per atom

=====

VASP calculation (PBE-GGA) on a relaxed structure of HPd2RuRh.

Cell and atoms, written as POSCAR:
```
HPd2RuRh
1.0
3.949 0.000 0.000
0.000 3.949 0.000
0.000 0.000 3.932
H Pd Ru Rh
1 2 1 1
Direct
0.000 0.000 0.000
0.000 0.500 0.000
0.500 0.000 0.000
0.500 0.500 0.500
0.000 0.000 0.500
```

Computed properties:
polymorph energy (0 for the lowest one)	0.0226	eV/atom
D(E_F)	6.4	states/eV/f.u.
VASP energy	-5.87	eV per atom

=====

VASP calculation (PBE-GGA) on a relaxed structure of HPd2RuRh.

Cell and atoms, written as POSCAR:
```
HPd2RuRh
1.0
3.962 0.000 0.000
0.000 3.962 0.000
0.000 0.000 3.898
H Pd Ru Rh
1 2 1 1
Direct
0.000 0.000 0.000
0.000 0.500 0.000
0.500 0.000 0.000
0.000 0.000 0.500
0.500 0.500 0.500
```

Computed properties:
polymorph energy (0 for the lowest one)	0.0000	eV/atom
D(E_F)	5.1	states/eV/f.u.
VASP energy	-5.89	eV per atom

=====

VASP calculation (PBE-GGA) on a relaxed structure of SbHPd2Rh.

Cell and atoms, written as POSCAR:
```
SbHPd2Rh
1.0
4.048 0.000 0.000
0.000 4.048 0.000
0.000 0.000 4.124
Sb H Pd Rh
1 1 2 1
Direct
0.000 0.000 0.000
0.500 0.500 0.500
0.000 0.500 0.500
0.500 0.000 0.500
0.500 0.500 0.000
```

Computed properties:
D(E_F)	1.9	states/eV/f.u.
VASP energy	-5.29	eV per atom

=====

VASP calculation (PBE-GGA) on a relaxed structure of SbHPdRh2.

Cell and atoms, written as POSCAR:
```
SbHPdRh2
1.0
4.080 0.000 0.000
0.000 4.080 0.000
0.000 0.000 3.957
Sb H Pd Rh
1 1 1 2
Direct
0.000 0.000 0.000
0.500 0.500 0.500
0.500 0.500 0.000
0.000 0.500 0.500
0.500 0.000 0.500
```

Computed properties:
D(E_F)	2.9	states/eV/f.u.
VASP energy	-5.73	eV per atom

=====

VASP calculation (PBE-GGA) on a relaxed structure of ScHPd2Rh.

Cell and atoms, written as POSCAR:
```
ScHPd2Rh
1.0
4.020 0.000 0.000
0.000 4.020 0.000
0.000 0.000 4.045
Sc H Pd Rh
1 1 2 1
Direct
0.000 0.000 0.000
0.500 0.500 0.500
0.000 0.500 0.500
0.500 0.000 0.500
0.500 0.500 0.000
```

Computed properties:
polymorph energy (0 for the lowest one)	0.0000	eV/atom
D(E_F)	4.7	states/eV/f.u.
VASP energy	-6.12	eV per atom

=====

VASP calculation (PBE-GGA) on a relaxed structure of ScHPdRh2.

Cell and atoms, written as POSCAR:
```
ScHPdRh2
1.0
4.006 0.000 0.000
0.000 4.006 0.000
0.000 0.000 3.996
Sc H Pd Rh
1 1 1 2
Direct
0.000 0.000 0.000
0.500 0.500 0.500
0.500 0.500 0.000
0.000 0.500 0.500
0.500 0.000 0.500
```

Computed properties:
polymorph energy (0 for the lowest one)	0.0000	eV/atom
D(E_F)	5.4	states/eV/f.u.
VASP energy	-6.49	eV per atom

=====

- Number 7 is which compound?
  ScHPd2Rh